Entry 1:
## CdSn2Pb5 (PBE)

Data for an optimized crystal structure of CdSn2Pb5.

Cell lengths 6.9917, 13.9668, 4.8715 Å; angles 90.00, 90.00, 90.00 degrees
With the nearest neighbours (Å) after each atom.
Fractional coordinates of all 16 atoms:
Cd 0.0000 0.0000 0.0000  8 Pb 3.38-3.50, 4 Sn 3.43
Cd 0.5000 0.5000 0.0000  8 Pb 3.38-3.50, 4 Sn 3.43
Sn 0.2474 0.1213 0.5000  10 Pb 3.36-3.63, 2 Cd 3.43
Sn 0.2526 0.6213 0.5000  10 Pb 3.36-3.63, 2 Cd 3.43
Sn 0.7474 0.3787 0.5000  10 Pb 3.36-3.63, 2 Cd 3.43
Sn 0.7526 0.8787 0.5000  10 Pb 3.36-3.63, 2 Cd 3.43
Pb 0.0000 0.5000 0.0000  4 Sn 3.45, 6 Pb 3.49-3.53, 2 Cd 3.50
Pb 0.0123 0.2470 0.0000  4 Sn 3.42-3.57, 1 Cd 3.45, 7 Pb 3.47-3.54
Pb 0.2338 0.8801 0.5000  4 Sn 3.36-3.63, 2 Cd 3.38, 6 Pb 3.47-3.54
Pb 0.2662 0.3801 0.5000  4 Sn 3.36-3.63, 2 Cd 3.38, 6 Pb 3.47-3.54
Pb 0.4877 0.7470 0.0000  4 Sn 3.42-3.57, 1 Cd 3.45, 7 Pb 3.47-3.54
Pb 0.5000 0.0000 0.0000  4 Sn 3.45, 6 Pb 3.49-3.53, 2 Cd 3.50
Pb 0.5123 0.2530 0.0000  4 Sn 3.42-3.57, 1 Cd 3.45, 7 Pb 3.47-3.54
Pb 0.7338 0.6199 0.5000  4 Sn 3.36-3.63, 2 Cd 3.38, 6 Pb 3.47-3.54
Pb 0.7662 0.1199 0.5000  4 Sn 3.36-3.63, 2 Cd 3.38, 6 Pb 3.47-3.54
Pb 0.9877 0.7530 0.0000  4 Sn 3.42-3.57, 1 Cd 3.45, 7 Pb 3.47-3.54

As for the distance to the lowest polymorph of the same formula: 0.0 meV/atom. The value obtained for the total DFT energy (no corrections) is -0.12504 Ha/atom. Its space-group type is Pbam (55).


Entry 2:
## CdSn2Pb (PBE)

Data for an optimized crystal structure of CdSn2Pb.

Cell lengths 6.6639, 5.0104, 6.7091 Å; angles 90.00, 95.60, 90.00 degrees
With the nearest neighbours (Å) after each atom.
Fractional coordinates of all 8 atoms:
Cd 0.1261 0.2500 0.1106  4 Pb 3.25-3.42, 2 Cd 3.29, 4 Sn 3.32-3.39
Cd 0.8739 0.7500 0.8894  4 Pb 3.25-3.42, 2 Cd 3.29, 4 Sn 3.32-3.39
Sn 0.1264 0.2500 0.6054  6 Sn 3.26-3.40, 2 Cd 3.32-3.39, 2 Pb 3.40
Sn 0.3644 0.7500 0.3809  6 Sn 3.28-3.40, 4 Pb 3.35-3.65, 2 Cd 3.39
Sn 0.6356 0.2500 0.6191  6 Sn 3.28-3.40, 4 Pb 3.35-3.65, 2 Cd 3.39
Sn 0.8736 0.7500 0.3946  6 Sn 3.26-3.40, 2 Cd 3.32-3.39, 2 Pb 3.40
Pb 0.3604 0.7500 0.8801  4 Cd 3.25-3.42, 4 Sn 3.35-3.40, 2 Pb 3.43
Pb 0.6396 0.2500 0.1199  4 Cd 3.25-3.42, 4 Sn 3.35-3.40, 2 Pb 3.43

As for the distance to the lowest polymorph of the same formula: 0.0 meV/atom. The value obtained for the total DFT energy (no corrections) is -0.11412 Ha/atom. Its space-group type is P2_1/m (11).


Entry 3:
## CdSn2Pb (PBE)

Data for an optimized crystal structure of CdSn2Pb.

Cell lengths 7.6080, 7.6080, 7.6080 Å; angles 33.27, 33.27, 33.27 degrees
With the nearest neighbours (Å) after each atom.
Fractional coordinates of all 4 atoms:
Cd 0.0000 0.0000 0.0000  6 Sn 2.98
Sn 0.2587 0.2587 0.2587  3 Cd 2.98, 3 Pb 3.20
Sn 0.7413 0.7413 0.7413  3 Cd 2.98, 3 Pb 3.20
Pb 0.5000 0.5000 0.5000  6 Sn 3.20

As for the distance to the lowest polymorph of the same formula: 92.9 meV/atom. The value obtained for the total DFT energy (no corrections) is -0.11071 Ha/atom. Its space-group type is R-3m (166).


Entry 4:
## CdSn2Pb (PBE)

Data for an optimized crystal structure of CdSn2Pb.

Cell lengths 5.4020, 5.4020, 5.4020 Å; angles 60.00, 60.00, 60.00 degrees
With the nearest neighbours (Å) after each atom.
Fractional coordinates of all 4 atoms:
Cd 0.0000 0.0000 0.0000  8 Sn 3.31
Sn 0.2500 0.2500 0.2500  4 Cd 3.31, 4 Pb 3.31
Sn 0.7500 0.7500 0.7500  4 Cd 3.31, 4 Pb 3.31
Pb 0.5000 0.5000 0.5000  8 Sn 3.31

As for the distance to the lowest polymorph of the same formula: 30.6 meV/atom. The value obtained for the total DFT energy (no corrections) is -0.11300 Ha/atom. Its space-group type is Fm-3m (225).


Entry 5:
## CdSn3Pb2 (PBE)

Data for an optimized crystal structure of CdSn3Pb2.

Cell lengths 7.9440, 7.9440, 6.6166 Å; angles 90.00, 90.00, 63.72 degrees
With the nearest neighbours (Å) after each atom.
Fractional coordinates of all 12 atoms:
Cd 0.2027 0.7973 0.7500  6 Sn 2.99-3.05
Cd 0.7973 0.2027 0.2500  6 Sn 2.99-3.05
Sn 0.1417 0.1417 0.0000  2 Cd 3.05, 4 Pb 3.25-3.29, 2 Sn 3.31
Sn 0.1417 0.1417 0.5000  2 Cd 3.05, 4 Pb 3.25-3.29, 2 Sn 3.31
Sn 0.5000 0.5000 0.0000  2 Cd 2.99, 4 Pb 3.23, 2 Sn 3.31
Sn 0.5000 0.5000 0.5000  2 Cd 2.99, 4 Pb 3.23, 2 Sn 3.31
Sn 0.8583 0.8583 0.0000  2 Cd 3.05, 4 Pb 3.25-3.29, 2 Sn 3.31
Sn 0.8583 0.8583 0.5000  2 Cd 3.05, 4 Pb 3.25-3.29, 2 Sn 3.31
Pb 0.1527 0.4948 0.2500  6 Sn 3.23-3.29
Pb 0.4948 0.1527 0.7500  6 Sn 3.23-3.29
Pb 0.5052 0.8473 0.2500  6 Sn 3.23-3.29
Pb 0.8473 0.5052 0.7500  6 Sn 3.23-3.29

The value obtained for the total DFT energy (no corrections) is -0.12102 Ha/atom. Its space-group type is Cmcm (63).


Entry 6:
## Sr2Cd4SnPb3 (PBE)

Data for an optimized crystal structure of Sr2Cd4SnPb3.

Cell lengths 4.9071, 4.9071, 12.7489 Å; angles 90.00, 90.00, 90.00 degrees
With the nearest neighbours (Å) after each atom.
Fractional coordinates of all 10 atoms:
Sr 0.0000 0.5000 0.2504  6 Pb 3.75-4.02, 8 Cd 3.75-4.03, 2 Sn 4.02
Sr 0.5000 0.0000 0.7496  6 Pb 3.75-4.02, 8 Cd 3.75-4.03, 2 Sn 4.02
Cd 0.0000 0.0000 0.0000  4 Pb 3.02
Cd 0.0000 0.5000 0.6370  3 Pb 2.86-3.01, 2 Sn 3.01
Cd 0.5000 0.0000 0.3630  3 Pb 2.86-3.01, 2 Sn 3.01
Cd 0.5000 0.5000 0.0000  4 Pb 3.02
Sn 0.0000 0.0000 0.5000  4 Cd 3.01
Pb 0.0000 0.5000 0.8616  5 Cd 2.86-3.02
Pb 0.5000 0.0000 0.1384  5 Cd 2.86-3.02
Pb 0.5000 0.5000 0.5000  4 Cd 3.01

The value obtained for the total DFT energy (no corrections) is -0.09039 Ha/atom. Its space-group type is P-4m2 (115).


Entry 7:
## Sr2Cd3Sn4Pb (PBE)

Data for an optimized crystal structure of Sr2Cd3Sn4Pb.

Cell lengths 4.9808, 4.9808, 12.3664 Å; angles 90.00, 90.00, 90.00 degrees
With the nearest neighbours (Å) after each atom.
Fractional coordinates of all 10 atoms:
Sr 0.0000 0.5000 0.2380  6 Cd 3.76-4.09, 8 Sn 3.81-3.86, 2 Pb 4.09
Sr 0.5000 0.0000 0.7620  6 Cd 3.76-4.09, 8 Sn 3.81-3.86, 2 Pb 4.09
Cd 0.0000 0.5000 0.8686  5 Sn 2.78-2.97
Cd 0.5000 0.0000 0.1314  5 Sn 2.78-2.97
Cd 0.5000 0.5000 0.5000  4 Sn 3.06
Sn 0.0000 0.0000 0.0000  4 Cd 2.97
Sn 0.0000 0.5000 0.6435  3 Cd 2.78-3.06, 2 Pb 3.06
Sn 0.5000 0.0000 0.3565  3 Cd 2.78-3.06, 2 Pb 3.06
Sn 0.5000 0.5000 0.0000  4 Cd 2.97
Pb 0.0000 0.0000 0.5000  4 Sn 3.06

The value obtained for the total DFT energy (no corrections) is -0.10453 Ha/atom. Its space-group type is P-4m2 (115).


Entry 8:
## Sr2CdSnPb (PBE)

Data for an optimized crystal structure of Sr2CdSnPb.

Cell lengths 6.1333, 6.1333, 5.5216 Å; angles 90.00, 90.00, 90.00 degrees
With the nearest neighbours (Å) after each atom.
Fractional coordinates of all 5 atoms:
Sr 0.0000 0.5000 0.0000  2 Cd 3.07
Sr 0.5000 0.0000 0.0000  2 Cd 3.07
Cd 0.0000 0.0000 0.0000  2 Pb 2.76, 4 Sr 3.07
Sn 0.5000 0.5000 0.5000  8 Sr 4.13, 4 Pb 4.34
Pb 0.0000 0.0000 0.5000  2 Cd 2.76

The value obtained for the total DFT energy (no corrections) is -0.08534 Ha/atom. Its space-group type is P4/mmm (123).


Entry 9:
## SrCdSn2Pb (PBE)

Data for an optimized crystal structure of SrCdSn2Pb.

Cell lengths 5.8475, 5.8475, 5.7092 Å; angles 90.00, 90.00, 90.00 degrees
With the nearest neighbours (Å) after each atom.
Fractional coordinates of all 5 atoms:
Sr 0.0000 0.0000 0.0000  8 Sn 4.09, 4 Cd 4.13
Cd 0.5000 0.5000 0.0000  2 Pb 2.85
Sn 0.0000 0.5000 0.5000  2 Pb 2.92
Sn 0.5000 0.0000 0.5000  2 Pb 2.92
Pb 0.5000 0.5000 0.5000  2 Cd 2.85, 4 Sn 2.92

The value obtained for the total DFT energy (no corrections) is -0.09578 Ha/atom. Its space-group type is P4/mmm (123).


Entry 10:
## TbCdSnPb (PBE)

Data for an optimized crystal structure of TbCdSnPb.

Cell lengths 4.4913, 4.8014, 4.8245 Å; angles 90.00, 90.00, 90.00 degrees
With the nearest neighbours (Å) after each atom.
Fractional coordinates of all 4 atoms:
Tb 0.0000 0.0000 0.0000  4 Sn 3.29, 4 Pb 3.30, 4 Cd 3.40
Cd 0.0000 0.5000 0.5000  4 Pb 3.29, 4 Sn 3.30, 4 Tb 3.40
Sn 0.5000 0.5000 0.0000  4 Tb 3.29, 4 Cd 3.30, 4 Pb 3.40
Pb 0.5000 0.0000 0.5000  4 Cd 3.29, 4 Tb 3.30, 4 Sn 3.40

The value obtained for the total DFT energy (no corrections) is -0.13596 Ha/atom. Its space-group type is Pmmm (47).


Entry 11:
## ThCdSnPb (PBE)

Data for an optimized crystal structure of ThCdSnPb.

Cell lengths 4.5519, 4.8480, 4.9600 Å; angles 90.00, 90.00, 90.00 degrees
With the nearest neighbours (Å) after each atom.
Fractional coordinates of all 4 atoms:
Th 0.0000 0.0000 0.0000  4 Sn 3.33, 4 Pb 3.37, 4 Cd 3.47
Cd 0.0000 0.5000 0.5000  4 Pb 3.33, 4 Sn 3.37, 4 Th 3.47
Sn 0.5000 0.5000 0.0000  4 Th 3.33, 4 Cd 3.37, 4 Pb 3.47
Pb 0.5000 0.0000 0.5000  4 Cd 3.33, 4 Th 3.37, 4 Sn 3.47

The value obtained for the total DFT energy (no corrections) is -0.15927 Ha/atom. Its space-group type is Pmmm (47).


Entry 12:
## TlCdSnPb (PBE)

Data for an optimized crystal structure of TlCdSnPb.

Cell lengths 5.4502, 5.4502, 5.4502 Å; angles 60.00, 60.00, 60.00 degrees
With the nearest neighbours (Å) after each atom.
Fractional coordinates of all 4 atoms:
Tl 0.0000 0.0000 0.0000  4 Cd 3.34, 4 Sn 3.34
Cd 0.7500 0.7500 0.7500  4 Pb 3.34, 4 Tl 3.34
Sn 0.2500 0.2500 0.2500  4 Tl 3.34, 4 Pb 3.34
Pb 0.5000 0.5000 0.5000  4 Cd 3.34, 4 Sn 3.34

The value obtained for the total DFT energy (no corrections) is -0.09916 Ha/atom. Its space-group type is F-43m (216).


V per entry: 476, 223, 118, 111, 374, 307, 307, 208, 195, 104, 109, 114 Å³/cell